Entry 1:
# PBE-GGA BaAl2Te, optimized geometry
data_BaAl2Te
_chemical_formula_sum 'Ba1 Al2 Te1'
_cell_length_a 4.192
_cell_length_b 4.406
_cell_length_c 6.603
_cell_angle_alpha 93.01
_cell_angle_beta 90.00
_cell_angle_gamma 90.00
_space_group_name_H-M_alt 'P 1'
_space_group_IT_number 1
loop_
_space_group_symop_operation_xyz
'x,y,z'
loop_
_atom_site_label
_atom_site_type_symbol
_atom_site_fract_x
_atom_site_fract_y
_atom_site_fract_z
Al1 Al 0.500 0.351 0.106
Al2 Al 0.000 0.830 0.101
Te1 Te 0.500 0.920 0.778
Ba1 Ba 0.000 0.399 0.515
# Size of the total moment in μB/atom: 0.00
# Uncorrected energy in eV/atom: -3.48
# Energy relative to the elements, uncorrected in eV per formula unit: -1.4


Entry 2:
# PBE-GGA BRu2N, optimized geometry
data_BRu2N
_chemical_formula_sum 'B2 Ru4 N2'
_cell_length_a 4.616
_cell_length_b 4.616
_cell_length_c 5.635
_cell_angle_alpha 65.82
_cell_angle_beta 65.82
_cell_angle_gamma 90.00
_space_group_name_H-M_alt 'P 1'
_space_group_IT_number 1
loop_
_space_group_symop_operation_xyz
'x,y,z'
loop_
_atom_site_label
_atom_site_type_symbol
_atom_site_fract_x
_atom_site_fract_y
_atom_site_fract_z
B1 B 0.500 0.500 0.000
B2 B 0.250 0.750 0.500
N1 N 0.750 0.250 0.500
N2 N 0.000 0.000 0.000
Ru1 Ru 0.106 0.625 0.250
Ru2 Ru 0.375 0.356 0.750
Ru3 Ru 0.875 0.894 0.750
Ru4 Ru 0.644 0.125 0.250
# Energy above the most stable polymorph in this dataset in eV per atom: 0.000
# Size of the total moment in μB/atom: 0.00
# Uncorrected energy in eV/atom: -8.19
# Energy relative to the elements, uncorrected in eV per formula unit: 0.8


Entry 3:
# PBE-GGA Ga5IrRh, optimized geometry
data_Ga5IrRh
_chemical_formula_sum 'Ga10 Ir2 Rh2'
_cell_length_a 6.452
_cell_length_b 6.452
_cell_length_c 9.274
_cell_angle_alpha 68.21
_cell_angle_beta 68.21
_cell_angle_gamma 68.00
_space_group_name_H-M_alt 'P 1'
_space_group_IT_number 1
loop_
_space_group_symop_operation_xyz
'x,y,z'
loop_
_atom_site_label
_atom_site_type_symbol
_atom_site_fract_x
_atom_site_fract_y
_atom_site_fract_z
Ir1 Ir 0.000 0.000 0.000
Ir2 Ir 0.000 0.000 0.500
Ga1 Ga 0.336 0.674 0.052
Ga2 Ga 0.664 0.326 0.948
Ga3 Ga 0.326 0.664 0.448
Ga4 Ga 0.084 0.916 0.750
Ga5 Ga 0.280 0.221 0.374
Ga6 Ga 0.779 0.720 0.126
Ga7 Ga 0.720 0.779 0.626
Ga8 Ga 0.221 0.280 0.874
Ga9 Ga 0.916 0.084 0.250
Ga10 Ga 0.674 0.336 0.552
Rh1 Rh 0.436 0.564 0.750
Rh2 Rh 0.564 0.436 0.250
# Size of the total moment in μB/atom: 0.00
# Uncorrected energy in eV/atom: -4.73


Entry 4:
# PBE-GGA DyThGeAu, optimized geometry
data_DyThGeAu
_chemical_formula_sum 'Dy1 Th1 Ge1 Au1'
_cell_length_a 5.173
_cell_length_b 5.173
_cell_length_c 5.173
_cell_angle_alpha 60.00
_cell_angle_beta 60.00
_cell_angle_gamma 60.00
_space_group_name_H-M_alt 'P 1'
_space_group_IT_number 1
loop_
_space_group_symop_operation_xyz
'x,y,z'
loop_
_atom_site_label
_atom_site_type_symbol
_atom_site_fract_x
_atom_site_fract_y
_atom_site_fract_z
Dy1 Dy 0.000 0.000 0.000
Ge1 Ge 0.750 0.750 0.750
Au1 Au 0.250 0.250 0.250
Th1 Th 0.500 0.500 0.500
# Energy above the most stable polymorph in this dataset in eV per atom: 0.143
# Size of the total moment in μB/atom: 0.07
# Uncorrected energy in eV/atom: -5.60


Entry 5:
# PBE-GGA CsZn3S, optimized geometry
data_CsZn3S
_chemical_formula_sum 'Cs1 Zn3 S1'
_cell_length_a 5.340
_cell_length_b 5.340
_cell_length_c 5.340
_cell_angle_alpha 90.00
_cell_angle_beta 90.00
_cell_angle_gamma 90.00
_space_group_name_H-M_alt 'P 1'
_space_group_IT_number 1
loop_
_space_group_symop_operation_xyz
'x,y,z'
loop_
_atom_site_label
_atom_site_type_symbol
_atom_site_fract_x
_atom_site_fract_y
_atom_site_fract_z
Zn1 Zn 0.000 0.000 0.500
Zn2 Zn 0.000 0.500 0.000
Zn3 Zn 0.500 0.000 0.000
Cs1 Cs 0.500 0.500 0.500
S1 S 0.000 0.000 0.000
# Energy above the most stable polymorph in this dataset in eV per atom: 0.000
# Size of the total moment in μB/atom: 0.00
# Uncorrected energy in eV/atom: -1.46
# Energy relative to the elements, uncorrected in eV per formula unit: 1.5


Entry 6:
# PBE-GGA LiOs2Br, optimized geometry
data_LiOs2Br
_chemical_formula_sum 'Li1 Os2 Br1'
_cell_length_a 4.214
_cell_length_b 4.214
_cell_length_c 7.047
_cell_angle_alpha 70.76
_cell_angle_beta 70.76
_cell_angle_gamma 40.22
_space_group_name_H-M_alt 'P 1'
_space_group_IT_number 1
loop_
_space_group_symop_operation_xyz
'x,y,z'
loop_
_atom_site_label
_atom_site_type_symbol
_atom_site_fract_x
_atom_site_fract_y
_atom_site_fract_z
Os1 Os 0.971 0.971 0.030
Os2 Os 0.193 0.193 0.179
Br1 Br 0.567 0.567 0.525
Li1 Li 0.769 0.769 0.766
# Energy above the most stable polymorph in this dataset in eV per atom: 0.123
# Size of the total moment in μB/atom: 0.00
# Uncorrected energy in eV/atom: -6.06
# Energy relative to the elements, uncorrected in eV per formula unit: 1.8


Entry 7:
# PBE-GGA PmPrNd14, optimized geometry
data_PmPrNd14
_chemical_formula_sum 'Pm1 Pr1 Nd14'
_cell_length_a 7.401
_cell_length_b 7.401
_cell_length_c 11.913
_cell_angle_alpha 90.00
_cell_angle_beta 90.00
_cell_angle_gamma 119.98
_space_group_name_H-M_alt 'P 1'
_space_group_IT_number 1
loop_
_space_group_symop_operation_xyz
'x,y,z'
loop_
_atom_site_label
_atom_site_type_symbol
_atom_site_fract_x
_atom_site_fract_y
_atom_site_fract_z
Nd1 Nd 0.208 0.292 0.500
Nd2 Nd 0.042 0.958 0.000
Nd3 Nd 0.875 0.125 0.750
Nd4 Nd 0.875 0.125 0.250
Nd5 Nd 0.875 0.625 0.750
Nd6 Nd 0.375 0.625 0.751
Nd7 Nd 0.875 0.625 0.250
Nd8 Nd 0.542 0.458 0.000
Nd9 Nd 0.375 0.125 0.250
Nd10 Nd 0.375 0.625 0.249
Nd11 Nd 0.708 0.792 0.500
Nd12 Nd 0.042 0.458 0.000
Nd13 Nd 0.542 0.958 0.000
Nd14 Nd 0.375 0.125 0.750
Pm1 Pm 0.708 0.292 0.500
Pr1 Pr 0.208 0.792 0.500
# Size of the total moment in μB/atom: 0.00
# Uncorrected energy in eV/atom: -4.77


Entry 8:
# PBE-GGA TlBSe2Br, optimized geometry
data_TlBSe2Br
_chemical_formula_sum 'Tl1 B1 Se2 Br1'
_cell_length_a 4.389
_cell_length_b 4.389
_cell_length_c 7.294
_cell_angle_alpha 90.00
_cell_angle_beta 90.00
_cell_angle_gamma 90.00
_space_group_name_H-M_alt 'P 1'
_space_group_IT_number 1
loop_
_space_group_symop_operation_xyz
'x,y,z'
loop_
_atom_site_label
_atom_site_type_symbol
_atom_site_fract_x
_atom_site_fract_y
_atom_site_fract_z
Se1 Se 0.500 0.000 0.000
Se2 Se 0.000 0.500 0.000
Br1 Br 0.000 0.000 0.500
B1 B 0.000 0.000 0.000
Tl1 Tl 0.500 0.500 0.500
# Energy above the most stable polymorph in this dataset in eV per atom: 0.000
# Size of the total moment in μB/atom: 0.00
# Uncorrected energy in eV/atom: -3.23
# Energy relative to the elements, uncorrected in eV per formula unit: 1.5


Question: Which formula does entry 3 have?
Answer: Ga5IrRh


Question: Which value of uncorrected energy does entry 7 give?
Answer: -4.77 eV/atom